[1]
# InGa6Ag2

An optimized crystal structure of InGa6Ag2 (PBE, Alexandria via LeMat-Bulk).

Summary:
The distance to the lowest polymorph of the same formula is 0.556 kcal/mol of atoms. For the formation energy, the calculation gives 0.060 eV/atom. Its space group is C2/m, No. 12.

Cell and atoms, written as POSCAR:
```
InGa6Ag2
1.0
6.4678 -3.7460 0.0000
6.4678 3.7460 0.0000
-1.2027 0.0000 3.8181
In Ga Ag
1 6 2
Cartesian
0.0000 0.0000 0.0000
1.5999 1.3557 2.6355
5.8665 1.3505 1.9091
1.5999 -1.3557 2.6355
10.1331 1.3557 1.1826
5.8665 -1.3505 1.9091
10.1331 -1.3557 1.1826
3.8593 0.0000 3.3656
7.8737 0.0000 0.4525
```

=====

[2]
# Nd2TmPu3Se6

An optimized crystal structure of Nd2TmPu3Se6 (PBE, Alexandria via LeMat-Bulk).

Summary:
Its space group is C2/m, No. 12. The energy relative to the elements, uncorrected is -1.6699 eV/atom.

Cell and atoms, written as POSCAR:
```
Nd2TmPu3Se6
1.0
9.0411 -2.0723 0.0000
9.0411 2.0723 0.0000
-1.8394 0.0000 8.1110
Nd Tm Pu Se
2 1 3 6
Cartesian
2.3887 0.0000 2.7283
13.8540 0.0000 5.3827
9.0411 0.0000 0.0000
1.5260 0.0000 6.7746
8.1214 0.0000 4.0555
14.7167 0.0000 1.3364
-1.3518 0.0000 6.1591
5.2965 0.0000 3.3288
4.3936 0.0000 7.4860
11.8491 0.0000 0.6250
10.9462 0.0000 4.7822
17.5945 0.0000 1.9519
```